[1]
This record from Alexandria describes a relaxed structure of ZrTlZn. The functional is PBE.

Lattice parameters (Å, degrees): 4.6056 4.6056 3.3461 90.00 90.00 120.00
Closest atoms and distances in Å follow each position.
Positions (direct):
Tl (0.0000, 0.0000, 0.1254)  3 Zn 2.68
Zn (0.3333, 0.6667, 0.2180)  3 Tl 2.68
Zr (0.6667, 0.3333, 0.6566)  6 Zn 3.04-3.26, 6 Tl 3.09-3.20, 2 Zr 3.35

Uncorrected energy, eV for the cell shown: -12.3
E_form, kJ/mol of atoms: -3



[2]
This record from Alexandria describes a relaxed structure of Zr4TlZn. The functional is PBE.

Lattice parameters (Å, degrees): 5.6537 6.8381 6.8381 90.00 90.00 90.00
Closest atoms and distances in Å follow each position.
Positions (direct):
Zr (0.0000, 0.1620, 0.6400)  2 Zn 2.87, 1 Zr 2.93, 2 Tl 3.05
Zr (0.0000, 0.8380, 0.3600)  2 Zn 2.87, 1 Zr 2.93, 2 Tl 3.05
Zr (0.0000, 0.3600, 0.1620)  2 Zn 2.87, 1 Zr 2.93, 2 Tl 3.05
Zr (0.0000, 0.6400, 0.8380)  2 Zn 2.87, 1 Zr 2.93, 2 Tl 3.05
Zr (0.5000, 0.8380, 0.6400)  2 Zn 2.87, 1 Zr 2.93, 2 Tl 3.05
Zr (0.5000, 0.1620, 0.3600)  2 Zn 2.87, 1 Zr 2.93, 2 Tl 3.05
Zr (0.5000, 0.6400, 0.1620)  2 Zn 2.87, 1 Zr 2.93, 2 Tl 3.05
Zr (0.5000, 0.3600, 0.8380)  2 Zn 2.87, 1 Zr 2.93, 2 Tl 3.05
Tl (0.2500, 0.0000, 0.0000)  2 Tl 2.83, 8 Zr 3.05
Tl (0.7500, 0.0000, 0.0000)  2 Tl 2.83, 8 Zr 3.05
Zn (0.2500, 0.5000, 0.5000)  2 Zn 2.83, 8 Zr 2.87
Zn (0.7500, 0.5000, 0.5000)  2 Zn 2.83, 8 Zr 2.87

Uncorrected energy, eV for the cell shown: -76.3
E_form, kJ/mol of atoms: -5



[3]
This record from Alexandria describes a relaxed structure of ZrTl2Zn2. The functional is PBE.

Lattice parameters (Å, degrees): 7.7396 7.7396 3.5318 90.00 90.00 90.00
Closest atoms and distances in Å follow each position.
Positions (direct):
Tl (0.1819, 0.6819, 0.5000)  6 Zn 2.81-2.96
Tl (0.6819, 0.8181, 0.5000)  6 Zn 2.81-2.96
Tl (0.8181, 0.3181, 0.5000)  6 Zn 2.81-2.96
Tl (0.3181, 0.1819, 0.5000)  6 Zn 2.81-2.96
Zn (0.3811, 0.8811, 0.0000)  1 Zn 2.60, 2 Tl 2.81
Zn (0.8811, 0.6189, 0.0000)  1 Zn 2.60, 2 Tl 2.81
Zn (0.6189, 0.1189, 0.0000)  1 Zn 2.60, 2 Tl 2.81
Zn (0.1189, 0.3811, 0.0000)  1 Zn 2.60, 2 Tl 2.81
Zr (0.0000, 0.0000, 0.0000)  4 Zn 3.09, 8 Tl 3.34
Zr (0.5000, 0.5000, 0.0000)  4 Zn 3.09, 8 Tl 3.34

Uncorrected energy, eV for the cell shown: -30.3
E_form, kJ/mol of atoms: 13



[4]
This record from Alexandria describes a relaxed structure of ZrTl2Zn2. The functional is PBE.

Lattice parameters (Å, degrees): 3.5409 3.5409 9.1220 78.81 78.81 90.00
Closest atoms and distances in Å follow each position.
Positions (direct):
Tl (0.3905, 0.3905, 0.2190)  4 Zn 3.03, 4 Zr 3.16
Tl (0.6095, 0.6095, 0.7810)  4 Zn 3.03, 4 Zr 3.16
Zn (0.7500, 0.2500, 0.5000)  4 Zn 2.50
Zn (0.2500, 0.7500, 0.5000)  4 Zn 2.50
Zr (0.0000, 0.0000, 0.0000)  8 Tl 3.16

Uncorrected energy, eV for the cell shown: -14.8
E_form, kJ/mol of atoms: 20



[5]
This record from Alexandria describes a relaxed structure of ZrTl2Zn. The functional is PBE.

Lattice parameters (Å, degrees): 5.4378 5.4378 3.2412 90.00 90.00 108.54
Closest atoms and distances in Å follow each position.
Positions (direct):
Tl (0.0000, 0.0000, 0.0000)  4 Zn 3.17, 4 Zr 3.17, 4 Tl 3.18-3.24
Tl (0.5000, 0.5000, 0.0000)  4 Zr 3.17, 4 Zn 3.17, 4 Tl 3.18-3.24
Zn (0.5000, 0.0000, 0.5000)  8 Tl 3.17, 2 Zr 3.18, 2 Zn 3.24
Zr (0.0000, 0.5000, 0.5000)  8 Tl 3.17, 2 Zn 3.18, 2 Zr 3.24

Uncorrected energy, eV for the cell shown: -14.3
E_form, kJ/mol of atoms: 6



[6]
This record from Alexandria describes a relaxed structure of Zr4TlZn. The functional is PBE.

Lattice parameters (Å, degrees): 3.4232 6.1201 7.8469 114.40 77.40 73.76
Closest atoms and distances in Å follow each position.
Positions (direct):
Zr (0.8106, 0.5322, 0.8466)  2 Zn 2.93, 5 Zr 3.08-3.23, 2 Tl 3.08
Zr (0.3481, 0.9849, 0.3189)  2 Zn 3.02, 2 Tl 3.12, 5 Zr 3.14-3.23
Zr (0.1894, 0.4678, 0.1534)  2 Zn 2.93, 5 Zr 3.08-3.23, 2 Tl 3.08
Zr (0.6519, 0.0151, 0.6811)  2 Zn 3.02, 2 Tl 3.12, 5 Zr 3.14-3.23
Tl (0.5000, 0.5000, 0.5000)  8 Zr 3.08-3.12, 2 Tl 3.42, 2 Zn 3.45
Zn (0.0000, 0.0000, 0.0000)  8 Zr 2.93-3.02

Uncorrected energy, eV for the cell shown: -38.5
E_form, kJ/mol of atoms: -11



[7]
This record from Alexandria describes a relaxed structure of ZrTl2Zn. The functional is PBE.

Lattice parameters (Å, degrees): 5.8189 5.8189 5.8189 137.28 137.28 62.01
Closest atoms and distances in Å follow each position.
Positions (direct):
Tl (0.0000, 0.0000, 0.0000)  4 Zn 3.00, 4 Tl 3.27, 4 Zr 3.27
Tl (0.2500, 0.7500, 0.5000)  4 Zr 3.00, 4 Tl 3.27, 4 Zn 3.27
Zn (0.5000, 0.5000, 0.0000)  8 Tl 3.00-3.27, 4 Zr 3.27
Zr (0.7500, 0.2500, 0.5000)  8 Tl 3.00-3.27, 4 Zn 3.27

Uncorrected energy, eV for the cell shown: -14.2
E_form, kJ/mol of atoms: 8



[8]
This record from Alexandria describes a relaxed structure of ZrTl2Zn. The functional is PBE.

Lattice parameters (Å, degrees): 3.3148 5.5385 6.1510 54.04 90.00 90.00
Closest atoms and distances in Å follow each position.
Positions (direct):
Tl (0.0000, 0.0000, 0.0000)  2 Zr 3.08, 4 Zn 3.14, 6 Tl 3.23-3.31
Tl (0.5000, 0.5000, 0.0000)  2 Zn 3.08, 4 Zr 3.14, 6 Tl 3.23-3.31
Zn (0.5000, 0.5000, 0.5000)  6 Tl 3.08-3.14, 4 Zr 3.23, 2 Zn 3.31
Zr (0.0000, 0.0000, 0.5000)  6 Tl 3.08-3.14, 4 Zn 3.23, 2 Zr 3.31

Uncorrected energy, eV for the cell shown: -14.3
E_form, kJ/mol of atoms: 7



[9]
This record from Alexandria describes a relaxed structure of ZrTl2Zn. The functional is PBE.

Lattice parameters (Å, degrees): 3.3831 4.2740 6.4179 90.00 90.00 90.00
Closest atoms and distances in Å follow each position.
Positions (direct):
Tl (0.0000, 0.0000, 0.9765)  1 Zn 2.89, 4 Zr 3.14
Tl (0.5000, 0.5000, 0.2649)  1 Zr 3.00, 4 Zn 3.20, 4 Tl 3.29
Zn (0.0000, 0.0000, 0.5259)  5 Tl 2.89-3.20, 4 Zr 3.03
Zr (0.5000, 0.5000, 0.7327)  5 Tl 3.00-3.14, 4 Zn 3.03

Uncorrected energy, eV for the cell shown: -14.2
E_form, kJ/mol of atoms: 10



[10]
This record from Alexandria describes a relaxed structure of ZrTl2Zn. The functional is PBE.

Lattice parameters (Å, degrees): 5.7145 5.7145 5.7145 135.91 135.91 64.11
Closest atoms and distances in Å follow each position.
Positions (direct):
Tl (0.0000, 0.0000, 0.0000)  4 Tl 3.03, 4 Zn 3.23, 4 Zr 3.23
Tl (0.5000, 0.5000, 0.0000)  4 Tl 3.03, 4 Zr 3.23, 4 Zn 3.23
Zn (0.2500, 0.7500, 0.5000)  4 Zr 3.03, 8 Tl 3.23
Zr (0.7500, 0.2500, 0.5000)  4 Zn 3.03, 8 Tl 3.23

Uncorrected energy, eV for the cell shown: -14.1
E_form, kJ/mol of atoms: 10



[11]
This record from Alexandria describes a relaxed structure of Zr5TlZn4. The functional is PBE.

Lattice parameters (Å, degrees): 3.3008 3.3008 17.9368 90.00 90.00 90.00
Closest atoms and distances in Å follow each position.
Positions (direct):
Zr (0.5000, 0.5000, 0.1184)  4 Zn 2.92, 4 Tl 3.16
Zr (0.5000, 0.5000, 0.3109)  8 Zn 2.89
Zr (0.5000, 0.5000, 0.5000)  8 Zn 2.88
Zr (0.5000, 0.5000, 0.6891)  8 Zn 2.89
Zr (0.5000, 0.5000, 0.8816)  4 Zn 2.92, 4 Tl 3.16
Tl (0.0000, 0.0000, 0.0000)  8 Zr 3.16, 4 Tl 3.30
Zn (0.0000, 0.0000, 0.2158)  8 Zr 2.89-2.92
Zn (0.0000, 0.0000, 0.4056)  8 Zr 2.88-2.89
Zn (0.0000, 0.0000, 0.5944)  8 Zr 2.88-2.89
Zn (0.0000, 0.0000, 0.7842)  8 Zr 2.89-2.92

Uncorrected energy, eV for the cell shown: -52.4
E_form, kJ/mol of atoms: -21



[12]
This record from Alexandria describes a relaxed structure of Zr5Tl2Zn2. The functional is PBE.

Lattice parameters (Å, degrees): 7.2546 7.4367 8.2411 116.82 90.00 90.00
Closest atoms and distances in Å follow each position.
Positions (direct):
Zr (0.0000, 0.0000, 0.0000)  4 Zn 2.88-2.99, 4 Zr 3.23
Zr (0.5000, 0.5000, 0.0000)  4 Zn 2.88-2.99, 4 Zr 3.23
Zr (0.8163, 0.8147, 0.2484)  3 Zn 2.73-2.95, 2 Tl 2.97-3.04
Zr (0.1837, 0.4336, 0.2484)  3 Zn 2.73-2.95, 2 Tl 2.97-3.04
Zr (0.3163, 0.9336, 0.2484)  3 Zn 2.73-2.95, 2 Tl 2.97-3.04
Zr (0.6837, 0.3147, 0.2484)  3 Zn 2.73-2.95, 2 Tl 2.97-3.04
Zr (0.1837, 0.1853, 0.7516)  3 Zn 2.73-2.95, 2 Tl 2.97-3.04
Zr (0.8163, 0.5664, 0.7516)  3 Zn 2.73-2.95, 2 Tl 2.97-3.04
Zr (0.6837, 0.0664, 0.7516)  3 Zn 2.73-2.95, 2 Tl 2.97-3.04
Zr (0.3163, 0.6853, 0.7516)  3 Zn 2.73-2.95, 2 Tl 2.97-3.04
Tl (0.0000, 0.2236, 0.4473)  7 Zr 2.97-3.29
Tl (0.5000, 0.7236, 0.4473)  7 Zr 2.97-3.29
Tl (0.0000, 0.7764, 0.5527)  7 Zr 2.97-3.29
Tl (0.5000, 0.2764, 0.5527)  7 Zr 2.97-3.29
Zn (0.6204, 0.8851, 0.0000)  1 Zn 2.44, 2 Zr 2.73
Zn (0.3796, 0.1149, 0.0000)  1 Zn 2.44, 2 Zr 2.73
Zn (0.1204, 0.6149, 0.0000)  1 Zn 2.44, 2 Zr 2.73
Zn (0.8796, 0.3851, 0.0000)  1 Zn 2.44, 2 Zr 2.73

Uncorrected energy, eV for the cell shown: -101.1
E_form, kJ/mol of atoms: -6



[13]
This record from Alexandria describes a relaxed structure of Zr2TlZn. The functional is PBE.

Lattice parameters (Å, degrees): 9.6150 9.6150 9.6150 19.68 19.68 19.68
Closest atoms and distances in Å follow each position.
Positions (direct):
Tl (0.2500, 0.2500, 0.2500)  6 Zr 3.21, 6 Tl 3.29
Zn (0.7500, 0.7500, 0.7500)  6 Zr 2.85
Zr (0.0081, 0.0081, 0.0081)  3 Zn 2.85
Zr (0.4919, 0.4919, 0.4919)  3 Zn 2.85

Uncorrected energy, eV for the cell shown: -20.9
E_form, kJ/mol of atoms: -3